A plane-wave DFT calculation with PBE was carried out for a relaxed SrTaH crystal.

Values from the calculation:
V: 22.74 Å³ per atom
Relative energy among the computed polymorphs: 67.4 kJ/mol of formula units
Magnetic moment: 0.00 μB/f.u.

a b c (Å): 3.968 3.625 9.490
angles (deg): 90.00 91.59 90.00
Atoms (fractional coordinates):
Sr 0.000 0.000 0.000
Sr 0.473 0.500 0.625
Ta 0.029 0.000 0.350
Ta 0.530 0.500 0.257
H 0.526 0.000 0.349
H 0.850 0.500 0.417